(1)
# AlIr2Au | Alexandria | PBE | optimized geometry
# Energy in eV per cell: -25.60
# Formation enthalpy at 0 K in meV per atom: -214.3
data_AlIr2Au
_symmetry_space_group_name_H-M 'P 4/m m m'
_symmetry_Int_Tables_number 123
_symmetry_space_group_name_Hall '-P 4 2'
_cell_length_a 2.964
_cell_length_b 2.964
_cell_length_c 6.882
_cell_angle_alpha 90.00
_cell_angle_beta 90.00
_cell_angle_gamma 90.00
loop_
_atom_site_label
_atom_site_type_symbol
_atom_site_fract_x
_atom_site_fract_y
_atom_site_fract_z
Al1 Al 0.000 0.000 0.000
Ir1 Ir 0.500 0.500 0.214
Au1 Au 0.000 0.000 0.500

---

(2)
# AlIrAu2 | Alexandria | PBE | optimized geometry
# Energy in eV per cell: -39.24
# Formation enthalpy at 0 K in meV per atom: -115.1
data_AlIrAu2
_symmetry_space_group_name_H-M 'I m m m'
_symmetry_Int_Tables_number 71
_symmetry_space_group_name_Hall '-I 2 2'
_cell_length_a 3.075
_cell_length_b 4.425
_cell_length_c 9.501
_cell_angle_alpha 90.00
_cell_angle_beta 90.00
_cell_angle_gamma 90.00
loop_
_atom_site_label
_atom_site_type_symbol
_atom_site_fract_x
_atom_site_fract_y
_atom_site_fract_z
Al1 Al 0.000 0.000 0.000
Ir1 Ir 0.000 0.000 0.500
Au1 Au 0.000 0.500 0.278

---

(3)
# AlIrAu2 | Alexandria | PBE | optimized geometry
# Energy in eV per cell: -75.55
# Formation enthalpy at 0 K in meV per atom: 67.9
data_AlIrAu2
_symmetry_space_group_name_H-M 'I -4 2 d'
_symmetry_Int_Tables_number 122
_symmetry_space_group_name_Hall 'I -4 2bw'
_cell_length_a 3.790
_cell_length_b 3.790
_cell_length_c 19.526
_cell_angle_alpha 90.00
_cell_angle_beta 90.00
_cell_angle_gamma 90.00
loop_
_atom_site_label
_atom_site_type_symbol
_atom_site_fract_x
_atom_site_fract_y
_atom_site_fract_z
Al1 Al 0.000 0.000 0.000
Ir1 Ir 0.000 0.000 0.500
Au1 Au 0.250 0.250 0.125

---

(4)
# AlIrAu2 | Alexandria | PBE | optimized geometry
# Energy in eV per cell: -56.46
# Formation enthalpy at 0 K in meV per atom: 84.3
data_AlIrAu2
_symmetry_space_group_name_H-M 'R -3 m'
_symmetry_Int_Tables_number 166
_symmetry_space_group_name_Hall '-R 3 2"'
_cell_length_a 2.9175
_cell_length_b 2.9175
_cell_length_c 26.4488
_cell_angle_alpha 90.00
_cell_angle_beta 90.00
_cell_angle_gamma 120.00
loop_
_atom_site_label
_atom_site_type_symbol
_atom_site_fract_x
_atom_site_fract_y
_atom_site_fract_z
Al1 Al 0.0000 0.0000 0.0000
Ir1 Ir 0.0000 0.0000 0.5000
Au1 Au 0.0000 0.0000 0.2555

---

(5)
# Al2IrAu2 | Alexandria | PBE | optimized geometry
# Energy in eV per cell: -47.91
# Formation enthalpy at 0 K in meV per atom: -210.6
# Distance to the lowest polymorph of the same formula in meV per atom: 0
data_Al2IrAu2
_symmetry_space_group_name_H-M 'P 4/m b m'
_symmetry_Int_Tables_number 127
_symmetry_space_group_name_Hall '-P 4 2ab'
_cell_length_a 6.821
_cell_length_b 6.821
_cell_length_c 3.498
_cell_angle_alpha 90.00
_cell_angle_beta 90.00
_cell_angle_gamma 90.00
loop_
_atom_site_label
_atom_site_type_symbol
_atom_site_fract_x
_atom_site_fract_y
_atom_site_fract_z
Al1 Al 0.152 0.348 0.000
Ir1 Ir 0.000 0.000 0.000
Au1 Au 0.148 0.648 0.500

---

(6)
# AlIr2Au | Alexandria | PBE | optimized geometry
# Energy in eV per cell: -50.79
# Formation enthalpy at 0 K in meV per atom: -163.0
data_AlIr2Au
_symmetry_space_group_name_H-M 'C 1 m 1'
_symmetry_Int_Tables_number 8
_symmetry_space_group_name_Hall 'C -2y'
_cell_length_a 10.029
_cell_length_b 2.826
_cell_length_c 4.766
_cell_angle_alpha 90.00
_cell_angle_beta 115.73
_cell_angle_gamma 90.00
loop_
_atom_site_label
_atom_site_type_symbol
_atom_site_fract_x
_atom_site_fract_y
_atom_site_fract_z
Al1 Al 0.000 0.000 0.000
Ir1 Ir 0.020 0.500 0.506
Ir2 Ir 0.268 0.000 0.610
Au1 Au 0.253 0.500 0.103

---

(7)
# AlIrAu2 | Alexandria | PBE | optimized geometry
# Energy in eV per cell: -38.65
# Formation enthalpy at 0 K in meV per atom: -41.8
data_AlIrAu2
_symmetry_space_group_name_H-M 'I 4/m m m'
_symmetry_Int_Tables_number 139
_symmetry_space_group_name_Hall '-I 4 2'
_cell_length_a 3.932
_cell_length_b 3.932
_cell_length_c 8.391
_cell_angle_alpha 90.00
_cell_angle_beta 90.00
_cell_angle_gamma 90.00
loop_
_atom_site_label
_atom_site_type_symbol
_atom_site_fract_x
_atom_site_fract_y
_atom_site_fract_z
Al1 Al 0.000 0.000 0.000
Ir1 Ir 0.000 0.000 0.500
Au1 Au 0.000 0.500 0.250

---

(8)
# AlIrAu2 | Alexandria | PBE | optimized geometry
# Energy in eV per cell: -38.63
# Formation enthalpy at 0 K in meV per atom: -39.5
data_AlIrAu2
_symmetry_space_group_name_H-M 'C m m m'
_symmetry_Int_Tables_number 65
_symmetry_space_group_name_Hall '-C 2 2'
_cell_length_a 5.459
_cell_length_b 7.641
_cell_length_c 3.145
_cell_angle_alpha 90.00
_cell_angle_beta 90.00
_cell_angle_gamma 90.00
loop_
_atom_site_label
_atom_site_type_symbol
_atom_site_fract_x
_atom_site_fract_y
_atom_site_fract_z
Al1 Al 0.000 0.000 0.000
Ir1 Ir 0.000 0.500 0.000
Au1 Au 0.250 0.250 0.500

---

(9)
# AlIr2Au | Alexandria | PBE | optimized geometry
# Energy in eV per cell: -25.39
# Formation enthalpy at 0 K in meV per atom: -162.1
data_AlIr2Au
_symmetry_space_group_name_H-M 'P 1 2/m 1'
_symmetry_Int_Tables_number 10
_symmetry_space_group_name_Hall '-P 2y'
_cell_length_a 2.874
_cell_length_b 4.105
_cell_length_c 5.357
_cell_angle_alpha 90.00
_cell_angle_beta 103.45
_cell_angle_gamma 90.00
loop_
_atom_site_label
_atom_site_type_symbol
_atom_site_fract_x
_atom_site_fract_y
_atom_site_fract_z
Al1 Al 0.000 0.000 0.000
Ir1 Ir 0.368 0.500 0.227
Au1 Au 0.000 0.000 0.500

---

(10)
# AlIr2Au | Alexandria | PBE | optimized geometry
# Energy in eV per cell: -25.35
# Formation enthalpy at 0 K in meV per atom: -151.2
data_AlIr2Au
_symmetry_space_group_name_H-M 'P 4 m m'
_symmetry_Int_Tables_number 99
_symmetry_space_group_name_Hall 'P 4 -2'
_cell_length_a 2.821
_cell_length_b 2.821
_cell_length_c 7.646
_cell_angle_alpha 90.00
_cell_angle_beta 90.00
_cell_angle_gamma 90.00
loop_
_atom_site_label
_atom_site_type_symbol
_atom_site_fract_x
_atom_site_fract_y
_atom_site_fract_z
Al1 Al 0.000 0.000 0.000
Ir1 Ir 0.000 0.000 0.535
Ir2 Ir 0.500 0.500 0.780
Au1 Au 0.500 0.500 0.255

---

(11)
# Al4IrAu | Alexandria | PBE | optimized geometry
# Energy in eV per cell: -108.09
# Formation enthalpy at 0 K in meV per atom: 14.1
# Distance to the lowest polymorph of the same formula in meV per atom: 607
data_Al4IrAu
_symmetry_space_group_name_H-M 'F -4 3 m'
_symmetry_Int_Tables_number 216
_symmetry_space_group_name_Hall 'F -4 2 3'
_cell_length_a 7.174
_cell_length_b 7.174
_cell_length_c 7.174
_cell_angle_alpha 90.00
_cell_angle_beta 90.00
_cell_angle_gamma 90.00
loop_
_atom_site_label
_atom_site_type_symbol
_atom_site_fract_x
_atom_site_fract_y
_atom_site_fract_z
Al1 Al 0.124 0.124 0.124
Ir1 Ir 0.250 0.250 0.750
Au1 Au 0.000 0.000 0.500

---

(12)
# AlIrAu2 | Alexandria | PBE | optimized geometry
# Energy in eV per cell: -39.44
# Formation enthalpy at 0 K in meV per atom: -140.5
data_AlIrAu2
_symmetry_space_group_name_H-M 'I -4 m 2'
_symmetry_Int_Tables_number 119
_symmetry_space_group_name_Hall 'I -4 -2'
_cell_length_a 4.093
_cell_length_b 4.093
_cell_length_c 7.689
_cell_angle_alpha 90.00
_cell_angle_beta 90.00
_cell_angle_gamma 90.00
loop_
_atom_site_label
_atom_site_type_symbol
_atom_site_fract_x
_atom_site_fract_y
_atom_site_fract_z
Al1 Al 0.000 0.000 0.000
Ir1 Ir 0.000 0.500 0.250
Au1 Au 0.000 0.000 0.500
Au2 Au 0.000 0.500 0.750

---

(13)
# Al2Ir2Au | Alexandria | PBE | optimized geometry
# Energy in eV per cell: -59.19
# Formation enthalpy at 0 K in meV per atom: -222.2
# Distance to the lowest polymorph of the same formula in meV per atom: 321
data_Al2Ir2Au
_symmetry_space_group_name_H-M 'I 4/m m m'
_symmetry_Int_Tables_number 139
_symmetry_space_group_name_Hall '-I 4 2'
_cell_length_a 3.793
_cell_length_b 3.793
_cell_length_c 11.596
_cell_angle_alpha 90.00
_cell_angle_beta 90.00
_cell_angle_gamma 90.00
loop_
_atom_site_label
_atom_site_type_symbol
_atom_site_fract_x
_atom_site_fract_y
_atom_site_fract_z
Al1 Al 0.000 0.500 0.250
Ir1 Ir 0.000 0.000 0.111
Au1 Au 0.000 0.000 0.500

---

(14)
# AlIrAu3 | Alexandria | PBE | optimized geometry
# Energy in eV per cell: -17.62
# Formation enthalpy at 0 K in meV per atom: 962.6
# Distance to the lowest polymorph of the same formula in meV per atom: 0
data_AlIrAu3
_symmetry_space_group_name_H-M 'P m -3 m'
_symmetry_Int_Tables_number 221
_symmetry_space_group_name_Hall '-P 4 2 3'
_cell_length_a 4.657
_cell_length_b 4.657
_cell_length_c 4.657
_cell_angle_alpha 90.00
_cell_angle_beta 90.00
_cell_angle_gamma 90.00
loop_
_atom_site_label
_atom_site_type_symbol
_atom_site_fract_x
_atom_site_fract_y
_atom_site_fract_z
Al1 Al 0.000 0.000 0.000
Ir1 Ir 0.500 0.500 0.500
Au1 Au 0.000 0.000 0.500